DFT (GGA-PBE) results for a relaxed TiHg2Se crystal.

Computed properties:
Calculated density in g cm⁻³: 7.943
Spin magnetization in μB/cell: 4.0
Formation energy without anion corrections in eV/f.u.: -0.21

Unit cell a=9.5367 b=9.5367 c=4.8548 alpha=90.00 beta=90.00 gamma=90.00
Element x y z (fractional)
Ti: 0.0000 0.0000 0.0000
Ti: 0.0000 0.5000 0.2500
Ti: 0.5000 0.0000 0.7500
Ti: 0.5000 0.5000 0.5000
Hg: 0.1509 0.7500 0.1250
Hg: 0.2500 0.1509 0.8750
Hg: 0.2500 0.3491 0.3750
Hg: 0.3491 0.7500 0.6250
Hg: 0.6509 0.2500 0.6250
Hg: 0.7500 0.6509 0.3750
Hg: 0.7500 0.8491 0.8750
Hg: 0.8491 0.2500 0.1250
Se: 0.0000 0.0000 0.5000
Se: 0.0000 0.5000 0.7500
Se: 0.5000 0.0000 0.2500
Se: 0.5000 0.5000 0.0000

DFT (GGA-PBE) results for a relaxed U3TiHg3Se8 crystal.

Computed properties:
Calculated density in g cm⁻³: 6.518
Spin magnetization in μB/cell: 6.0
Formation energy without anion corrections in eV/f.u.: -12.90

Unit cell a=7.9032 b=7.9032 c=10.4517 alpha=112.26 beta=112.26 gamma=59.99
Element x y z (fractional)
U: 0.0000 0.0000 0.0000
U: 0.0000 0.5000 0.0000
U: 0.5000 0.0000 0.0000
Ti: 0.5000 0.5000 0.0000
Hg: 0.0000 0.5000 0.5000
Hg: 0.5000 0.0000 0.5000
Hg: 0.5000 0.5000 0.5000
Se: 0.2246 0.2246 0.1734
Se: 0.2418 0.7106 0.1629
Se: 0.2893 0.2893 0.8371
Se: 0.2894 0.7582 0.8371
Se: 0.7106 0.2418 0.1629
Se: 0.7107 0.7107 0.1629
Se: 0.7582 0.2894 0.8371
Se: 0.7754 0.7754 0.8266

DFT (GGA-PBE) results for a relaxed Tl6Hg5Se crystal.

Computed properties:
Calculated density in g cm⁻³: 10.312
Spin magnetization in μB/cell: 0.0
Formation energy without anion corrections in eV/f.u.: -0.77

Unit cell a=8.4601 b=8.4601 c=6.3473 alpha=102.76 beta=102.76 gamma=115.88
Element x y z (fractional)
Tl: 0.0729 0.3958 0.2270
Tl: 0.2366 0.2366 0.7549
Tl: 0.3958 0.0729 0.2270
Tl: 0.6042 0.9271 0.7730
Tl: 0.7634 0.7634 0.2451
Tl: 0.9271 0.6042 0.7730
Hg: 0.1756 0.8244 0.5000
Hg: 0.3399 0.6601 0.0000
Hg: 0.5000 0.5000 0.5000
Hg: 0.6601 0.3399 0.0000
Hg: 0.8244 0.1756 0.5000
Se: 0.0000 0.0000 0.0000

DFT (GGA-PBE) results for a relaxed TlHg2Se crystal.

Computed properties:
Calculated density in g cm⁻³: 9.731
Spin magnetization in μB/cell: 0.0
Formation energy without anion corrections in eV/f.u.: -0.27

Unit cell a=4.1703 b=6.4741 c=8.6529 alpha=90.00 beta=90.00 gamma=90.00
Element x y z (fractional)
Tl: 0.0000 0.0000 0.0000
Tl: 0.5000 0.5000 0.5000
Hg: 0.0000 0.0000 0.5265
Hg: 0.0000 0.5000 0.7811
Hg: 0.5000 0.0000 0.2811
Hg: 0.5000 0.5000 0.0265
Se: 0.0000 0.5000 0.2417
Se: 0.5000 0.0000 0.7417

DFT (GGA-PBE) results for a relaxed TlHg2Se crystal.

Computed properties:
Calculated density in g cm⁻³: 10.518
Spin magnetization in μB/cell: 0.0
Formation energy without anion corrections in eV/f.u.: -0.08

Unit cell a=4.1290 b=4.7025 c=5.5656 alpha=90.00 beta=90.00 gamma=90.00
Element x y z (fractional)
Tl: 0.0000 0.0000 0.0000
Hg: 0.0000 0.5000 0.5000
Hg: 0.5000 0.5000 0.0000
Se: 0.5000 0.0000 0.5000

DFT (GGA-PBE) results for a relaxed TlHgSe2 crystal.

Computed properties:
Calculated density in g cm⁻³: 6.833
Spin magnetization in μB/cell: 0.0
Formation energy without anion corrections in eV/f.u.: -0.60

Unit cell a=4.5561 b=4.5561 c=7.6096 alpha=90.00 beta=90.00 gamma=120.00
Element x y z (fractional)
Tl: 0.0000 0.0000 0.0000
Hg: 0.6667 0.3333 0.4915
Se: 0.0000 0.0000 0.3846
Se: 0.6667 0.3333 0.8534

DFT (GGA-PBE) results for a relaxed TlHg2Se2 crystal.

Computed properties:
Calculated density in g cm⁻³: 8.981
Spin magnetization in μB/cell: 0.0
E above lowest polymorph in meV per atom: 96
Formation energy without anion corrections in eV/f.u.: -0.30

Unit cell a=4.4829 b=4.4829 c=14.0481 alpha=90.00 beta=90.00 gamma=90.00
Element x y z (fractional)
Tl: 0.0000 0.0000 0.0000
Tl: 0.5000 0.5000 0.5000
Hg: 0.0000 0.5000 0.2500
Hg: 0.0000 0.5000 0.7500
Hg: 0.5000 0.0000 0.2500
Hg: 0.5000 0.0000 0.7500
Se: 0.0000 0.0000 0.4124
Se: 0.0000 0.0000 0.5876
Se: 0.5000 0.5000 0.0876
Se: 0.5000 0.5000 0.9124

DFT (GGA-PBE) results for a relaxed TlHgSe2 crystal.

Computed properties:
Calculated density in g cm⁻³: 9.129
Spin magnetization in μB/cell: 0.0
Formation energy without anion corrections in eV/f.u.: 0.97

Unit cell a=4.6875 b=4.6875 c=9.3195 alpha=90.00 beta=90.00 gamma=90.00
Element x y z (fractional)
Tl: 0.0000 0.0000 0.0000
Tl: 0.5000 0.5000 0.5000
Hg: 0.0000 0.5000 0.7500
Hg: 0.5000 0.0000 0.2500
Se: 0.0000 0.0000 0.5000
Se: 0.0000 0.5000 0.2500
Se: 0.5000 0.0000 0.7500
Se: 0.5000 0.5000 0.0000

DFT (GGA-PBE) results for a relaxed Tl2HgSe crystal.

Computed properties:
Calculated density in g cm⁻³: 8.375
Spin magnetization in μB/cell: 0.0
E above lowest polymorph in meV per atom: 65
Formation energy without anion corrections in eV/f.u.: -0.82

Unit cell a=4.0198 b=4.4617 c=15.2191 alpha=90.00 beta=90.00 gamma=90.00
Element x y z (fractional)
Tl: 0.0000 0.0000 0.0000
Tl: 0.0000 0.5000 0.2178
Tl: 0.5000 0.0000 0.7178
Tl: 0.5000 0.5000 0.5000
Hg: 0.0000 0.5000 0.8330
Hg: 0.5000 0.0000 0.3330
Se: 0.0000 0.0000 0.5770
Se: 0.5000 0.5000 0.0770

DFT (GGA-PBE) results for a relaxed TlHg2Se crystal.

Computed properties:
Calculated density in g cm⁻³: 10.206
Spin magnetization in μB/cell: 0.0
Formation energy without anion corrections in eV/f.u.: -0.20

Unit cell a=4.0542 b=5.9889 c=9.1740 alpha=90.00 beta=90.00 gamma=90.00
Element x y z (fractional)
Tl: 0.0000 0.0000 0.0000
Tl: 0.5000 0.5000 0.5000
Hg: 0.0000 0.5000 0.2270
Hg: 0.0000 0.5000 0.7730
Hg: 0.5000 0.0000 0.2730
Hg: 0.5000 0.0000 0.7270
Se: 0.0000 0.0000 0.5000
Se: 0.5000 0.5000 0.0000

DFT (GGA-PBE) results for a relaxed Tl6Hg3Se crystal.

Computed properties:
Calculated density in g cm⁻³: 10.277
Spin magnetization in μB/cell: 0.0
Formation energy without anion corrections in eV/f.u.: -0.71

Unit cell a=11.9056 b=4.0068 c=13.5105 alpha=90.00 beta=107.03 gamma=90.00
Element x y z (fractional)
Tl: 0.1172 0.2500 0.2081
Tl: 0.1535 0.7500 0.7685
Tl: 0.2216 0.7500 0.4217
Tl: 0.3340 0.2500 0.6460
Tl: 0.3384 0.2500 0.9698
Tl: 0.3733 0.7500 0.2029
Tl: 0.6267 0.2500 0.7971
Tl: 0.6616 0.7500 0.0302
Tl: 0.6660 0.7500 0.3540
Tl: 0.7784 0.2500 0.5783
Tl: 0.8465 0.2500 0.2315
Tl: 0.8828 0.7500 0.7919
Hg: 0.0442 0.2500 0.5856
Hg: 0.1121 0.7500 0.0068
Hg: 0.4446 0.2500 0.4092
Hg: 0.5554 0.7500 0.5908
Hg: 0.8879 0.2500 0.9932
Hg: 0.9558 0.7500 0.4144
Se: 0.4346 0.7500 0.8365
Se: 0.5654 0.2500 0.1635

DFT (GGA-PBE) results for a relaxed Tl2HgSe2 crystal.

Computed properties:
Calculated density in g cm⁻³: 8.395
Spin magnetization in μB/cell: 0.0
E above lowest polymorph in meV per atom: 221
Formation energy without anion corrections in eV/f.u.: -0.37

Unit cell a=5.4232 b=5.4232 c=10.3205 alpha=90.00 beta=90.00 gamma=90.00
Element x y z (fractional)
Tl: 0.0000 0.0000 0.1450
Tl: 0.0000 0.0000 0.8550
Tl: 0.5000 0.5000 0.3550
Tl: 0.5000 0.5000 0.6450
Hg: 0.0000 0.0000 0.5000
Hg: 0.5000 0.5000 0.0000
Se: 0.0000 0.5000 0.2500
Se: 0.0000 0.5000 0.7500
Se: 0.5000 0.0000 0.2500
Se: 0.5000 0.0000 0.7500

- Which of these has the lowest formation energy without anion corrections?
  U3TiHg3Se8